(1)
An optimized crystal structure of Er2Mg3Ag2, computed with PBE-GGA.

```
data_Er2Mg3Ag2
_cell_length_a 10.154
_cell_length_b 4.611
_cell_length_c 7.442
_cell_angle_alpha 90.00
_cell_angle_beta 111.91
_cell_angle_gamma 90.00
_symmetry_space_group_name_H-M 'P 1'
_symmetry_Int_Tables_number 1
_symmetry_space_group_name_Hall 'P 1'
loop_
_atom_site_label
_atom_site_fract_x
_atom_site_fract_y
_atom_site_fract_z
Er1 0.138 0.000 0.282
Er2 0.362 0.500 0.718
Er3 0.638 0.500 0.282
Er4 0.862 0.000 0.718
Mg1 0.000 0.500 0.500
Mg2 0.127 0.500 0.938
Mg3 0.373 0.000 0.062
Mg4 0.500 0.000 0.500
Mg5 0.627 0.000 0.938
Mg6 0.873 0.500 0.062
Ag1 0.155 0.000 0.701
Ag2 0.345 0.500 0.299
Ag3 0.655 0.500 0.701
Ag4 0.845 0.000 0.299
```

Computed properties:
Space-group type ... C2/m


(2)
An optimized crystal structure of Ti6SnPd, computed with PBE-GGA.

```
data_Ti6SnPd
_cell_length_a 5.765
_cell_length_b 5.765
_cell_length_c 4.781
_cell_angle_alpha 90.00
_cell_angle_beta 90.00
_cell_angle_gamma 120.00
_symmetry_space_group_name_H-M 'P 1'
_symmetry_Int_Tables_number 1
_symmetry_space_group_name_Hall 'P 1'
loop_
_atom_site_label
_atom_site_fract_x
_atom_site_fract_y
_atom_site_fract_z
Ti1 0.002 0.501 0.000
Ti2 0.331 0.165 0.500
Ti3 0.499 0.501 0.000
Ti4 0.499 0.998 0.000
Ti5 0.835 0.165 0.500
Ti6 0.835 0.669 0.500
Sn1 0.000 0.000 0.000
Pd1 0.333 0.667 0.500
```

Computed properties:
Space-group type ... P-6m2


(3)
An optimized crystal structure of SbP4, computed with PBE-GGA.

```
data_SbP4
_cell_length_a 4.982
_cell_length_b 4.982
_cell_length_c 4.982
_cell_angle_alpha 90.00
_cell_angle_beta 90.00
_cell_angle_gamma 90.00
_symmetry_space_group_name_H-M 'P 1'
_symmetry_Int_Tables_number 1
_symmetry_space_group_name_Hall 'P 1'
loop_
_atom_site_label
_atom_site_fract_x
_atom_site_fract_y
_atom_site_fract_z
Sb1 0.000 0.000 0.000
P1 0.000 0.000 0.500
P2 0.000 0.500 0.000
P3 0.500 0.000 0.000
P4 0.500 0.500 0.500
```

Computed properties:
Raw formation energy ... 1.606 eV per atom
Space-group type ... Pm-3m


| no. | energy above the lowest structure with this stoichiometry (kJ per mole of atoms) | M_tot (μB/f.u.) |
| --- | --- | --- |
| 1 | 0.0 | 0.0 |
| 2 | 0.0 | 0.0 |
| 3 | 50.6 | 0.0 |